CsGaNiF6 | PBE with a Hubbard U | relaxed

The value obtained for the mass density is 3.9 g/cm³. The total magnetic moment comes out at 1.93 μB per formula unit. The value obtained for the relative energy among the computed polymorphs is 11 meV per atom.

The space group is C2 (No. 5) and the conventional cell measures 5.330, 9.219 and 6.540 Å, with angles of 90.00, 90.15 and 90.00 degrees. The asymmetric unit holds Cs at (0.000, 0.000, 0.000), Ga at (0.000, 0.333, 0.500), Ni at (0.000, 0.667, 0.500), F at (0.118, 0.493, 0.667), F at (0.181, 0.195, 0.667) and F at (0.203, 0.812, 0.667).